[1]
# Y2Sc2S3 | Alexandria via LeMat-Bulk | PBE | relaxed
data_Y2Sc2S3
_cell_length_a 12.8894
_cell_length_b 3.6814
_cell_length_c 9.0901
_cell_angle_alpha 90.00
_cell_angle_beta 131.88
_cell_angle_gamma 90.00
_symmetry_space_group_name_H-M 'C 1 2/m 1'
_symmetry_Int_Tables_number 12
_symmetry_space_group_name_Hall '-C 2y'
loop_
_atom_site_label
_atom_site_fract_x
_atom_site_fract_y
_atom_site_fract_z
Y1 0.0735 0.0000 0.3617
Sc1 0.2464 0.5000 0.8415
S1 0.0000 0.5000 0.5000
S2 0.1691 0.5000 0.2535
# E_form (uncorrected) = -1.54 eV/atom
# E = -6.964 eV/atom

[2]
# RbPr2PuO8 | Alexandria via LeMat-Bulk | PBE | relaxed
data_RbPr2PuO8
_cell_length_a 4.6396
_cell_length_b 5.2985
_cell_length_c 8.2664
_cell_angle_alpha 92.45
_cell_angle_beta 94.52
_cell_angle_gamma 93.35
_symmetry_space_group_name_H-M 'P -1'
_symmetry_Int_Tables_number 2
_symmetry_space_group_name_Hall '-P 1'
loop_
_atom_site_label
_atom_site_fract_x
_atom_site_fract_y
_atom_site_fract_z
Rb1 0.0000 0.0000 0.0000
Pr1 0.4356 0.4705 0.7190
Pu1 0.0000 0.0000 0.5000
O1 0.0863 0.7120 0.3268
O2 0.2116 0.8695 0.6897
O3 0.3325 0.2444 0.4625
O4 0.4928 0.6429 0.0012
# E_form (uncorrected) = -2.45 eV/atom
# E = -7.826 eV/atom

[3]
# Sr2TaMo | Alexandria via LeMat-Bulk | PBE | relaxed
data_Sr2TaMo
_cell_length_a 2.9917
_cell_length_b 5.4989
_cell_length_c 5.9028
_cell_angle_alpha 90.00
_cell_angle_beta 91.32
_cell_angle_gamma 90.00
_symmetry_space_group_name_H-M 'P 1 2/m 1'
_symmetry_Int_Tables_number 10
_symmetry_space_group_name_Hall '-P 2y'
loop_
_atom_site_label
_atom_site_fract_x
_atom_site_fract_y
_atom_site_fract_z
Sr1 0.0014 0.0000 0.2527
Ta1 0.5000 0.5000 0.0000
Mo1 0.5000 0.5000 0.5000
# distance to the lowest polymorph of the same formula = 717 meV/atom
# E = -5.322 eV/atom
# energy of formation from the pure elements = 4.76 eV per formula unit

[4]
# Sm2Zn4GaPt3 | Alexandria via LeMat-Bulk | PBE | relaxed
data_Sm2Zn4GaPt3
_cell_length_a 3.9993
_cell_length_b 3.9993
_cell_length_c 11.8202
_cell_angle_alpha 90.00
_cell_angle_beta 90.00
_cell_angle_gamma 90.00
_symmetry_space_group_name_H-M 'P -4 m 2'
_symmetry_Int_Tables_number 115
_symmetry_space_group_name_Hall 'P -4 -2'
loop_
_atom_site_label
_atom_site_fract_x
_atom_site_fract_y
_atom_site_fract_z
Sm1 0.0000 0.5000 0.2441
Zn1 0.0000 0.0000 0.0000
Zn2 0.0000 0.5000 0.6394
Zn3 0.5000 0.5000 0.0000
Ga1 0.0000 0.0000 0.5000
Pt1 0.0000 0.5000 0.8549
Pt2 0.5000 0.5000 0.5000
# E = -4.281 eV/atom
# energy of formation from the pure elements = -7.13 eV per formula unit

[5]
# MgZr3Au | Alexandria via LeMat-Bulk | PBE | relaxed
data_MgZr3Au
_cell_length_a 5.2078
_cell_length_b 5.2078
_cell_length_c 5.2078
_cell_angle_alpha 90.00
_cell_angle_beta 90.00
_cell_angle_gamma 90.00
_symmetry_space_group_name_H-M 'P m -3 m'
_symmetry_Int_Tables_number 221
_symmetry_space_group_name_Hall '-P 4 2 3'
loop_
_atom_site_label
_atom_site_fract_x
_atom_site_fract_y
_atom_site_fract_z
Mg1 0.0000 0.0000 0.0000
Zr1 0.0000 0.5000 0.5000
Au1 0.5000 0.5000 0.5000
# distance to the lowest polymorph of the same formula = 0 meV/atom
# E = -5.552 eV/atom
# energy of formation from the pure elements = 2.76 eV per formula unit

[6]
# Tb2ErTm2Sc | Alexandria via LeMat-Bulk | PBE | relaxed
data_Tb2ErTm2Sc
_cell_length_a 6.8576
_cell_length_b 9.4845
_cell_length_c 5.4857
_cell_angle_alpha 90.00
_cell_angle_beta 90.00
_cell_angle_gamma 90.00
_symmetry_space_group_name_H-M 'P n n m'
_symmetry_Int_Tables_number 58
_symmetry_space_group_name_Hall '-P 2 2n'
loop_
_atom_site_label
_atom_site_fract_x
_atom_site_fract_y
_atom_site_fract_z
Tb1 0.2468 0.1657 0.0000
Er1 0.0000 0.5000 0.0000
Tm1 0.2490 0.8324 0.0000
Sc1 0.0000 0.0000 0.5000
# E = -4.754 eV/atom
# energy of formation from the pure elements = 0.57 eV per formula unit

[7]
# Ce2AlZn | Alexandria via LeMat-Bulk | PBE | relaxed
data_Ce2AlZn
_cell_length_a 4.3982
_cell_length_b 4.3982
_cell_length_c 4.5774
_cell_angle_alpha 90.00
_cell_angle_beta 90.00
_cell_angle_gamma 90.00
_symmetry_space_group_name_H-M 'P 4/m m m'
_symmetry_Int_Tables_number 123
_symmetry_space_group_name_Hall '-P 4 2'
loop_
_atom_site_label
_atom_site_fract_x
_atom_site_fract_y
_atom_site_fract_z
Ce1 0.0000 0.5000 0.0000
Al1 0.0000 0.0000 0.5000
Zn1 0.5000 0.5000 0.5000
# E = -4.468 eV/atom
# energy of formation from the pure elements = -0.99 eV per formula unit

[8]
# RbP2SBr | Alexandria via LeMat-Bulk | PBE | relaxed
data_RbP2SBr
_cell_length_a 5.0759
_cell_length_b 5.0759
_cell_length_c 5.4890
_cell_angle_alpha 90.00
_cell_angle_beta 90.00
_cell_angle_gamma 90.00
_symmetry_space_group_name_H-M 'P 4/m m m'
_symmetry_Int_Tables_number 123
_symmetry_space_group_name_Hall '-P 4 2'
loop_
_atom_site_label
_atom_site_fract_x
_atom_site_fract_y
_atom_site_fract_z
Rb1 0.0000 0.0000 0.0000
P1 0.0000 0.5000 0.5000
S1 0.5000 0.5000 0.0000
Br1 0.5000 0.5000 0.5000
# distance to the lowest polymorph of the same formula = 0 meV/atom
# E_form (uncorrected) = 0.82 eV/atom
# E = -2.695 eV/atom